[1]
Density functional theory data (GGA-PBE) for a relaxed structure of YScNb.

The structure in POSCAR format:
```
YScNb
1.0
4.813 0.000 0.000
0.000 5.190 0.410
-2.407 -0.717 5.958
Nb Sc Y
2 2 2
Direct
0.754 0.170 0.508
0.246 0.830 0.492
0.610 0.726 0.219
0.390 0.274 0.781
0.900 0.723 0.801
0.100 0.277 0.199
```

Computed properties:
- total DFT energy (no corrections) (eV per atom) = -7.4221


[2]
Density functional theory data (GGA-PBE) for a relaxed structure of ScNbZn3.

The structure in POSCAR format:
```
ScNbZn3
1.0
4.890 0.000 0.000
0.000 4.890 0.000
0.000 0.000 4.890
Sc Nb Zn
1 1 3
Direct
0.500 0.500 0.500
0.000 0.000 0.000
0.000 0.500 0.000
0.000 0.000 0.500
0.500 0.000 0.000
```

Computed properties:
- total DFT energy (no corrections) (eV per atom) = -3.2938


[3]
Density functional theory data (GGA-PBE) for a relaxed structure of Sc2Nb2Zn.

The structure in POSCAR format:
```
Sc2Nb2Zn
1.0
-6.125 -3.627 0.294
3.396 -5.905 -2.088
0.734 -0.930 3.824
Sc Nb Zn
4 4 2
Direct
0.166 0.666 0.500
0.666 0.834 0.500
0.834 0.334 0.500
0.334 0.166 0.500
0.367 0.867 0.000
0.867 0.633 0.000
0.633 0.133 0.000
0.133 0.367 0.000
0.000 0.000 0.000
0.500 0.500 0.000
```

Computed properties:
- total DFT energy (no corrections) (eV per atom) = -6.6289


[4]
Density functional theory data (GGA-PBE) for a relaxed structure of ScNbZn4.

The structure in POSCAR format:
```
ScNbZn4
1.0
5.156 0.000 0.000
2.578 4.465 0.000
2.578 1.488 4.209
Sc Nb Zn
1 1 4
Direct
0.250 0.250 0.250
0.000 0.000 0.000
0.626 0.626 0.123
0.626 0.123 0.626
0.626 0.626 0.626
0.123 0.626 0.626
```

Computed properties:
- total DFT energy (no corrections) (eV per atom) = -3.7606


[5]
Density functional theory data (GGA-PBE) for a relaxed structure of ScNb3Zn.

The structure in POSCAR format:
```
ScNb3Zn
1.0
4.744 0.000 0.000
0.000 4.744 0.000
0.000 0.000 4.744
Sc Nb Zn
1 3 1
Direct
0.000 0.000 0.000
0.000 0.500 0.000
0.000 0.000 0.500
0.500 0.000 0.000
0.500 0.500 0.500
```

Computed properties:
- total DFT energy (no corrections) (eV per atom) = -5.9689


[6]
Density functional theory data (GGA-PBE) for a relaxed structure of ScNbZn17.

The structure in POSCAR format:
```
ScNbZn17
1.0
-3.914 -2.308 -4.875
-3.648 -4.150 3.727
-5.157 4.093 1.036
Sc Nb Zn
1 1 17
Direct
0.664 0.664 0.664
0.330 0.330 0.330
0.302 0.002 0.694
0.694 0.302 0.002
0.002 0.694 0.302
0.302 0.694 0.002
0.002 0.302 0.694
0.694 0.002 0.302
0.348 0.863 0.348
0.348 0.348 0.863
0.863 0.348 0.348
0.631 0.190 0.631
0.631 0.631 0.190
0.190 0.631 0.631
0.986 0.515 0.986
0.986 0.986 0.515
0.515 0.986 0.986
0.905 0.905 0.905
0.106 0.106 0.106
```

Computed properties:
- total DFT energy (no corrections) (eV per atom) = -2.0649


[7]
Density functional theory data (GGA-PBE) for a relaxed structure of ScNbZn.

The structure in POSCAR format:
```
ScNbZn
1.0
-2.798 -2.004 0.501
1.728 -1.719 2.775
-4.600 5.018 5.972
Sc Nb Zn
2 2 2
Direct
0.007 0.291 0.484
0.238 0.791 0.028
0.838 0.291 0.828
0.407 0.791 0.685
0.673 0.291 0.165
0.572 0.791 0.347
```

Computed properties:
- total DFT energy (no corrections) (eV per atom) = -5.9969


[8]
Density functional theory data (GGA-PBE) for a relaxed structure of Sc2NbZn2.

The structure in POSCAR format:
```
Sc2NbZn2
1.0
7.671 0.000 0.000
0.000 7.671 0.000
0.000 0.000 3.188
Sc Nb Zn
4 2 4
Direct
0.180 0.680 0.500
0.680 0.820 0.500
0.820 0.320 0.500
0.320 0.180 0.500
0.000 0.000 0.000
0.500 0.500 0.000
0.381 0.881 0.000
0.881 0.619 0.000
0.619 0.119 0.000
0.119 0.381 0.000
```

Computed properties:
- total DFT energy (no corrections) (eV per atom) = -5.1384


[9]
Density functional theory data (GGA-PBE) for a relaxed structure of ScNb2Zn2.

The structure in POSCAR format:
```
ScNb2Zn2
1.0
4.003 0.000 0.000
0.000 4.003 0.000
2.002 2.002 6.102
Sc Nb Zn
1 2 2
Direct
0.000 0.000 0.000
0.401 0.401 0.198
0.599 0.599 0.802
0.750 0.250 0.500
0.250 0.750 0.500
```

Computed properties:
- total DFT energy (no corrections) (eV per atom) = -5.4660


[10]
Density functional theory data (GGA-PBE) for a relaxed structure of ScNb2Zn2.

The structure in POSCAR format:
```
ScNb2Zn2
1.0
-1.228 -4.891 -6.168
-1.677 -5.936 5.042
-2.785 0.752 -0.042
Sc Nb Zn
2 4 4
Direct
0.000 0.000 0.000
0.500 0.500 0.000
0.383 0.883 0.000
0.883 0.617 0.000
0.617 0.117 0.000
0.117 0.383 0.000
0.179 0.679 0.500
0.679 0.821 0.500
0.821 0.321 0.500
0.321 0.179 0.500
```

Computed properties:
- total DFT energy (no corrections) (eV per atom) = -5.6979


[11]
Density functional theory data (GGA-PBE) for a relaxed structure of ScNb3Zn.

The structure in POSCAR format:
```
ScNb3Zn
1.0
-4.387 -1.261 -1.427
1.208 -4.613 0.364
-1.473 -0.026 4.550
Sc Nb Zn
1 3 1
Direct
0.500 0.500 0.500
0.000 0.500 0.000
0.000 0.000 0.500
0.500 0.000 0.000
0.000 0.000 0.000
```

Computed properties:
- total DFT energy (no corrections) (eV per atom) = -6.5650


[12]
Density functional theory data (GGA-PBE) for a relaxed structure of Sc5NbZn4.

The structure in POSCAR format:
```
Sc5NbZn4
1.0
3.256 0.000 0.000
0.000 3.256 0.000
0.000 0.000 18.068
Sc Nb Zn
5 1 4
Direct
0.500 0.500 0.111
0.500 0.500 0.309
0.500 0.500 0.500
0.500 0.500 0.691
0.500 0.500 0.889
0.000 0.000 0.000
0.000 0.000 0.211
0.000 0.000 0.404
0.000 0.000 0.596
0.000 0.000 0.789
```

Computed properties:
- total DFT energy (no corrections) (eV per atom) = -4.9372


[13]
Density functional theory data (GGA-PBE) for a relaxed structure of ScNbZn.

The structure in POSCAR format:
```
ScNbZn
1.0
3.322 0.000 0.000
0.000 4.530 0.000
-1.661 0.000 7.426
Zn Sc Nb
2 2 2
Direct
0.400 0.250 0.800
0.600 0.750 0.200
0.923 0.750 0.846
0.077 0.250 0.154
0.749 0.250 0.498
0.251 0.750 0.502
```

Computed properties:
- total DFT energy (no corrections) (eV per atom) = -6.0366


[14]
Density functional theory data (GGA-PBE) for a relaxed structure of ScNbZn.

The structure in POSCAR format:
```
ScNbZn
1.0
2.941 0.000 0.000
0.000 2.941 0.000
-1.471 -1.471 6.383
Sc Nb Zn
1 1 1
Direct
0.328 0.328 0.657
0.009 0.009 0.018
0.663 0.663 0.325
```

Computed properties:
- total DFT energy (no corrections) (eV per atom) = -5.9680


[15]
Density functional theory data (GGA-PBE) for a relaxed structure of ScNb2Zn2.

The structure in POSCAR format:
```
ScNb2Zn2
1.0
7.416 0.000 0.000
0.000 7.416 0.000
0.000 0.000 3.240
Sc Nb Zn
2 4 4
Direct
0.000 0.000 0.000
0.500 0.500 0.000
0.175 0.675 0.500
0.675 0.825 0.500
0.825 0.325 0.500
0.325 0.175 0.500
0.377 0.877 0.000
0.877 0.623 0.000
0.623 0.123 0.000
0.123 0.377 0.000
```

Computed properties:
- total DFT energy (no corrections) (eV per atom) = -5.7462


[16]
Density functional theory data (GGA-PBE) for a relaxed structure of ZrScNb3.

The structure in POSCAR format:
```
ZrScNb3
1.0
-0.049 0.248 4.778
-2.895 -3.805 0.168
3.809 -2.889 0.189
Sc Nb Zr
1 3 1
Direct
0.000 0.000 0.000
0.000 0.500 0.000
0.000 0.000 0.500
0.500 0.000 0.000
0.500 0.500 0.500
```

Computed properties:
- total DFT energy (no corrections) (eV per atom) = -7.6777


[17]
Density functional theory data (GGA-PBE) for a relaxed structure of Zr2ScNb.

The structure in POSCAR format:
```
Zr2ScNb
1.0
-1.628 3.885 0.138
-3.848 -1.546 -1.874
-1.677 -0.850 4.144
Sc Nb Zr
1 1 2
Direct
0.500 0.000 0.000
0.500 0.500 0.500
0.000 0.000 0.500
0.000 0.500 0.000
```

Computed properties:
- total DFT energy (no corrections) (eV per atom) = -8.2581


[18]
Density functional theory data (GGA-PBE) for a relaxed structure of Zr2Sc2Nb.

The structure in POSCAR format:
```
Zr2Sc2Nb
1.0
-5.046 2.748 4.293
3.895 -1.817 5.741
2.071 4.014 -0.135
Sc Nb Zr
4 2 4
Direct
0.161 0.661 0.500
0.661 0.839 0.500
0.839 0.339 0.500
0.339 0.161 0.500
0.000 0.000 0.000
0.500 0.500 0.000
0.354 0.854 0.000
0.854 0.646 0.000
0.646 0.146 0.000
0.146 0.354 0.000
```

Computed properties:
- total DFT energy (no corrections) (eV per atom) = -7.6669


[19]
Density functional theory data (GGA-PBE) for a relaxed structure of Zr2ScNb.

The structure in POSCAR format:
```
Zr2ScNb
1.0
4.960 0.000 0.000
2.480 4.296 0.000
2.480 1.432 4.050
Sc Nb Zr
1 1 2
Direct
0.500 0.500 0.500
0.000 0.000 0.000
0.250 0.250 0.250
0.750 0.750 0.750
```

Computed properties:
- total DFT energy (no corrections) (eV per atom) = -8.2787


[20]
Density functional theory data (GGA-PBE) for a relaxed structure of Zr4Sc9Nb.

The structure in POSCAR format:
```
Zr4Sc9Nb
1.0
-9.754 0.890 0.058
0.318 4.006 -7.940
-0.804 -8.849 0.490
Zr Sc Nb
8 18 2
Direct
0.250 0.115 0.229
0.250 0.115 0.885
0.250 0.771 0.885
0.750 0.885 0.771
0.750 0.885 0.115
0.750 0.229 0.115
0.000 0.000 0.000
0.500 0.000 0.000
0.044 0.793 0.587
0.044 0.793 0.207
0.044 0.413 0.207
0.956 0.207 0.413
0.956 0.207 0.793
0.956 0.587 0.793
0.544 0.207 0.413
0.544 0.207 0.793
0.544 0.587 0.793
0.456 0.793 0.587
0.456 0.793 0.207
0.456 0.413 0.207
0.250 0.463 0.925
0.250 0.463 0.537
0.250 0.075 0.537
0.750 0.537 0.075
0.750 0.537 0.463
0.750 0.925 0.463
0.250 0.667 0.333
0.750 0.333 0.667
```

Computed properties:
- total DFT energy (no corrections) (eV per atom) = -7.0707


Number 1: DFT formation energy 200 meV/atom. Number 2: DFT formation energy 751 meV/atom. Number 3: DFT formation energy 186 meV/atom. Number 4: DFT formation energy -178 meV/atom. Number 5: DFT formation energy 1594 meV/atom. Number 6: DFT formation energy -62 meV/atom. Number 7: DFT formation energy -105 meV/atom. Number 8: DFT formation energy -82 meV/atom. Number 9: DFT formation energy 338 meV/atom. Number 10: DFT formation energy 106 meV/atom. Number 11: DFT formation energy 998 meV/atom. Number 12: DFT formation energy -255 meV/atom. Number 13: DFT formation energy -145 meV/atom. Number 14: DFT formation energy -76 meV/atom. Number 15: DFT formation energy 58 meV/atom. Number 16: DFT formation energy 1340 meV/atom. Number 17: DFT formation energy 116 meV/atom. Number 18: DFT formation energy 299 meV/atom. Number 19: DFT formation energy 96 meV/atom. Number 20: DFT formation energy 161 meV/atom.